PrV2CuO8: optimized geometry, PBE with a Hubbard U.

a = 5.8136 Å, b = 5.8136 Å, c = 6.0243 Å
α = 90.00°, β = 90.00°, γ = 120.00°
Last column: nearest neighbours and their distance in Å.
Positions (direct):
Pr 0.0000 0.0000 0.0000  6 O 2.39
V 0.6667 0.3333 0.3787  4 O 1.63-1.80
V 0.3333 0.6667 0.6213  4 O 1.63-1.80
Cu 0.0000 0.0000 0.5000  6 O 2.07
O 0.8372 0.1628 0.2898  1 V 1.80
O 0.8372 0.6744 0.2898  1 V 1.80
O 0.3256 0.1628 0.2898  1 V 1.80
O 0.6744 0.8372 0.7102  1 V 1.80
O 0.3333 0.6667 0.3502  1 V 1.63
O 0.6667 0.3333 0.6498  1 V 1.63
O 0.1628 0.8372 0.7102  1 V 1.80
O 0.1628 0.3256 0.7102  1 V 1.80

Summary:
total magnetic moment = 1.995 μB/cell
electronic total energy = -7.057 eV/atom